This record from the Open Quantum Materials Database describes a relaxed structure of PaGaCo. The functional is GGA-PBE.

Unit cell a=4.5324 b=4.5324 c=4.5324 alpha=60.00 beta=60.00 gamma=60.00
With the nearest neighbours (Å) after each atom.
Sites, in units of the cell vectors:
Pa 0.0000 0.0000 0.0000  4 Co 2.78, 4 Ga 2.78
Ga 0.2500 0.2500 0.2500  4 Pa 2.78
Co 0.7500 0.7500 0.7500  4 Pa 2.78

Output
- Electronic total energy: -6.0126 eV per atom
- Crystal system: cubic
- Calculated density: 9.1 g cm⁻³